BeSn2IrSe, optimized geometry, DFT PBE; theoretical density = 8.42 Mg/m³; formation energy from raw total energies = 0.76 eV/atom; density of states at the Fermi level = 4.66 states/eV/f.u.; space group = P4/mmm (123)
1.0
4.881 0.000 0.000
0.000 4.881 0.000
0.000 0.000 4.285
Be Sn Ir Se
1 2 1 1
Cartesian
0.000 0.000 0.000 Be
0.000 2.441 0.000 Sn
2.441 0.000 0.000 Sn
2.441 2.441 2.143 Ir
0.000 0.000 2.143 Se

***

Sr2BeIrSe, optimized geometry, DFT PBE; theoretical density = 5.60 Mg/m³; formation energy from raw total energies = 0.11 eV/atom; density of states at the Fermi level = 4.80 states/eV/f.u.; space group = P4/mmm (123)
1.0
5.771 0.000 0.000
0.000 5.771 0.000
0.000 0.000 4.054
Sr Be Ir Se
2 1 1 1
Cartesian
0.000 2.886 0.000 Sr
2.886 0.000 0.000 Sr
0.000 0.000 2.027 Be
2.886 2.886 2.027 Ir
0.000 0.000 0.000 Se

***

BeTe2IrSe, optimized geometry, DFT PBE; theoretical density = 7.76 Mg/m³; formation energy from raw total energies = 1.16 eV/atom; density of states at the Fermi level = 3.18 states/eV/f.u.; space group = P4/mmm (123)
1.0
5.333 0.000 0.000
0.000 5.333 0.000
0.000 0.000 4.030
Be Te Ir Se
1 2 1 1
Cartesian
0.000 0.000 0.000 Be
0.000 2.666 2.015 Te
2.666 0.000 2.015 Te
2.666 2.666 0.000 Ir
0.000 0.000 2.015 Se

***

Be2TlIrSe, optimized geometry, DFT PBE; theoretical density = 9.18 Mg/m³; formation energy from raw total energies = 0.84 eV/atom; density of states at the Fermi level = 1.47 states/eV/f.u.; space group = P4/mmm (123)
1.0
4.246 0.000 0.000
0.000 4.246 0.000
0.000 0.000 4.955
Be Tl Ir Se
2 1 1 1
Cartesian
0.000 2.123 0.000 Be
2.123 0.000 0.000 Be
0.000 0.000 2.477 Tl
2.123 2.123 2.477 Ir
2.123 2.123 0.000 Se

***

Be3SiIr, optimized geometry, DFT PBE; theoretical density = 6.29 Mg/m³; excess energy over the best structure of this formula in the dataset = 428 meV/atom; formation energy from raw total energies = 0.97 eV/atom; density of states at the Fermi level = 2.90 states/eV/f.u.; space group = Pm-3m (221)
1.0
4.028 0.000 0.000
0.000 4.028 0.000
0.000 0.000 4.028
Be Si Ir
3 1 1
Cartesian
0.000 0.000 2.014 Be
0.000 2.014 0.000 Be
2.014 0.000 0.000 Be
0.000 0.000 0.000 Si
2.014 2.014 2.014 Ir

***

BeSiIr2, optimized geometry, DFT PBE; theoretical density = 13.79 Mg/m³; excess energy over the best structure of this formula in the dataset = 377 meV/atom; formation energy from raw total energies = -0.27 eV/atom; density of states at the Fermi level = 3.06 states/eV/f.u.; space group = I-4m2 (119)
1.0
-1.762 1.762 4.087
1.762 -1.762 4.087
1.762 1.762 -4.087
Be Si Ir
1 1 2
Cartesian
0.000 0.000 0.000 Be
0.000 1.762 2.044 Si
1.762 0.000 2.044 Ir
0.000 0.000 4.087 Ir

***

BeSiIr2, optimized geometry, DFT PBE; theoretical density = 10.24 Mg/m³; excess energy over the best structure of this formula in the dataset = 925 meV/atom; formation energy from raw total energies = 0.27 eV/atom; density of states at the Fermi level = 0.13 states/eV/f.u.; space group = I-42d (122)
1.0
-2.621 2.621 4.977
2.621 -2.621 4.977
2.621 2.621 -4.977
Be Si Ir
2 2 4
Cartesian
0.000 0.000 0.000 Be
0.000 2.621 2.488 Be
2.621 0.000 2.488 Si
0.000 0.000 4.977 Si
3.931 1.196 -1.244 Ir
1.196 1.310 1.244 Ir
-1.310 1.425 3.733 Ir
1.425 1.310 6.221 Ir

***

BeSiIr2, optimized geometry, DFT PBE; theoretical density = 13.54 Mg/m³; excess energy over the best structure of this formula in the dataset = 421 meV/atom; formation energy from raw total energies = -0.23 eV/atom; density of states at the Fermi level = 2.19 states/eV/f.u.; space group = Immm (71)
1.0
-1.436 2.380 3.783
1.436 -2.380 3.783
1.436 2.380 -3.783
Be Si Ir
1 1 2
Cartesian
0.000 0.000 0.000 Be
0.000 0.000 3.783 Si
1.436 0.000 1.778 Ir
0.000 2.380 2.004 Ir